ScTaSb4, single point on PBEsol structure, DFT SCAN; symmetry = F-43m; energy relative to the elements, uncorrected = 0.733 eV per atom
1.0
-3.023 -2.535 4.459
-5.190 -2.709 -1.084
-0.390 -5.932 0.338
Sb Sc Ta
4 1 1
Direct
0.375 0.375 0.375
0.375 0.375 0.876
0.876 0.375 0.375
0.375 0.876 0.375
0.750 0.750 0.750
0.000 0.000 0.000

=====

TbScSb, single point on PBEsol structure, DFT SCAN; symmetry = P4/nmm; energy relative to the elements, uncorrected = -0.942 eV per atom
1.0
4.291 0.000 0.000
0.000 4.291 0.000
0.000 0.000 8.099
Sc Sb Tb
2 2 2
Direct
0.000 0.000 0.000
0.500 0.500 0.000
0.000 0.500 0.736
0.500 0.000 0.264
0.000 0.500 0.349
0.500 0.000 0.651

=====

ScTcSb2Te, single point on PBEsol structure, DFT SCAN; symmetry = P4/mmm; energy relative to the elements, uncorrected = 0.363 eV per atom
1.0
-1.909 -1.361 4.349
-0.777 -4.549 -1.765
5.133 -1.561 1.765
Sc Sb Te Tc
1 2 1 1
Direct
0.500 0.500 0.500
0.000 0.500 0.000
0.500 0.000 0.000
0.000 0.000 0.500
0.000 0.000 0.000

=====

Sc2TcSbW, single point on PBEsol structure, DFT SCAN; symmetry = P4/mmm; energy relative to the elements, uncorrected = 0.921 eV per atom
1.0
4.784 0.000 0.000
0.000 4.784 0.000
0.000 0.000 4.972
Sc Sb Tc W
2 1 1 1
Direct
0.000 0.500 0.000
0.500 0.000 0.000
0.000 0.000 0.500
0.000 0.000 0.000
0.500 0.500 0.500

=====

ScSbTe, single point on PBEsol structure, DFT SCAN; symmetry = P-6m2; energy relative to the elements, uncorrected = -0.454 eV per atom
1.0
3.716 0.000 0.000
0.000 4.869 0.000
0.000 -2.434 4.216
Sc Sb Te
1 1 1
Direct
0.000 0.667 0.333
0.500 0.000 0.000
0.000 0.333 0.667

=====

ScSbTe, single point on PBEsol structure, DFT SCAN; symmetry = P3m1; energy relative to the elements, uncorrected = -0.542 eV per atom
1.0
3.590 0.000 0.000
-1.795 3.109 0.000
0.000 0.000 7.050
Sc Sb Te
1 1 1
Direct
0.667 0.333 0.655
0.000 0.000 0.966
0.333 0.667 0.379